First-principles (PBE) data for an optimized crystal structure of BaNaCa2Cd, as listed in Alexandria.

Formation energy from the elements, kJ/mol of formula units: 12
DFT total energy, eV/cell: -8.0
Space group: No. 123
Volume, Å³ per cell: 245

The structure in POSCAR format:
```
BaNaCa2Cd
1.0
-1.239 5.728 1.762
-0.810 -1.943 5.746
6.344 0.994 1.231
Na Ca Ba Cd
1 2 1 1
Direct
0.500 0.500 0.500
0.000 0.500 0.000
0.500 0.000 0.000
0.000 0.000 0.500
0.000 0.000 0.000
```